# CdSb2CI (PBE-GGA, relaxed)
data_CdSb2CI
_cell_length_a 4.859
_cell_length_b 4.859
_cell_length_c 5.113
_cell_angle_alpha 90.00
_cell_angle_beta 90.00
_cell_angle_gamma 90.00
_symmetry_space_group_name_H-M 'P 4/m m m'
_symmetry_Int_Tables_number 123
_symmetry_space_group_name_Hall '-P 4 2'
loop_
_atom_site_label
_atom_site_fract_x
_atom_site_fract_y
_atom_site_fract_z
_atom_site_occupancy
Cd1 0.000 0.000 0.000 1
Sb1 0.000 0.500 0.500 1
C1 0.500 0.500 0.500 1
I1 0.500 0.500 0.000 1
# * energy relative to the elements, uncorrected: 1.019 eV per atom
# * raw total energy: -2.968 eV per atom